Entry 1:
Below is a relaxed structure of CaY2Sb, with properties calculated at the PBE level.

For the distance to the lowest polymorph of the same formula, the calculation gives 38 meV per atom. The formation energy without anion corrections is -421.4 meV per atom. As for the size of the total moment: 0.0000 μB per atom.

The structure in POSCAR format:
```
CaY2Sb
1.0
4.6960 0.0000 0.0000
0.0000 4.6960 0.0000
0.0000 0.0000 10.6988
Ca Y Sb
2 4 2
Direct
0.0000 0.0000 0.0000 Ca
0.5000 0.5000 0.5000 Ca
0.0000 0.5000 0.2500 Y
0.0000 0.5000 0.7500 Y
0.5000 0.0000 0.2500 Y
0.5000 0.0000 0.7500 Y
0.0000 0.0000 0.5000 Sb
0.5000 0.5000 0.0000 Sb
```

---

Entry 2:
Below is a relaxed structure of Al2FeMo, with properties calculated at the PBE level.

For the distance to the lowest polymorph of the same formula, the calculation gives 161 meV per atom. The energy of formation comes out at -0.07 eV per atom. As for the size of the total moment: 0.7339 μB per atom.

The structure in POSCAR format:
```
Al2FeMo
1.0
6.0685 0.0000 0.0000
0.0000 6.0685 0.0000
0.0000 0.0000 6.0685
Al Fe Mo
8 4 4
Direct
0.2500 0.2500 0.2500 Al
0.2500 0.2500 0.7500 Al
0.2500 0.7500 0.2500 Al
0.2500 0.7500 0.7500 Al
0.7500 0.2500 0.2500 Al
0.7500 0.2500 0.7500 Al
0.7500 0.7500 0.2500 Al
0.7500 0.7500 0.7500 Al
0.0000 0.0000 0.0000 Fe
0.0000 0.5000 0.5000 Fe
0.5000 0.0000 0.5000 Fe
0.5000 0.5000 0.0000 Fe
0.0000 0.0000 0.5000 Mo
0.0000 0.5000 0.0000 Mo
0.5000 0.0000 0.0000 Mo
0.5000 0.5000 0.5000 Mo
```

---

Entry 3:
Below is a relaxed structure of CsHg2Bi2, with properties calculated at the PBE level.

For the distance to the lowest polymorph of the same formula, the calculation gives 22 meV per atom. The energy of formation comes out at -0.17 eV per atom. As for the size of the total moment: 0.0000 μB per atom.

The structure in POSCAR format:
```
CsHg2Bi2
1.0
-2.6250 2.6250 13.0651
2.6250 -2.6250 13.0651
2.6250 2.6250 -13.0651
Cs Hg Bi
2 4 4
Direct
0.1271 0.1271 0.0000 Cs
0.8729 0.8729 0.0000 Cs
0.2500 0.7500 0.5000 Hg
0.4283 0.4283 0.0000 Hg
0.5717 0.5717 0.0000 Hg
0.7500 0.2500 0.5000 Hg
0.0000 0.5000 0.5000 Bi
0.3117 0.3117 0.0000 Bi
0.5000 0.0000 0.5000 Bi
0.6883 0.6883 0.0000 Bi
```

---

Entry 4:
Below is a relaxed structure of BaReRh3, with properties calculated at the PBE level.

For the distance to the lowest polymorph of the same formula, the calculation gives 0 meV per atom. The energy of formation comes out at 0.44 eV per atom. As for the size of the total moment: 0.0000 μB per atom.

The structure in POSCAR format:
```
BaReRh3
1.0
4.8422 0.0000 0.0000
0.0000 4.8422 0.0000
0.0000 0.0000 4.8422
Ba Re Rh
1 1 3
Direct
0.0000 0.0000 0.0000 Ba
0.5000 0.5000 0.5000 Re
0.0000 0.5000 0.5000 Rh
0.5000 0.0000 0.5000 Rh
0.5000 0.5000 0.0000 Rh
```

---

Entry 5:
Below is a relaxed structure of Ca2ErIn, with properties calculated at the PBE level.

For the distance to the lowest polymorph of the same formula, the calculation gives 0 meV per atom. The energy of formation comes out at -0.21 eV per atom. As for the size of the total moment: 0.0000 μB per atom.

The structure in POSCAR format:
```
Ca2ErIn
1.0
4.8362 0.0000 0.0000
0.0000 4.8362 0.0000
0.0000 0.0000 5.2182
Ca Er In
2 1 1
Direct
0.0000 0.5000 0.0000 Ca
0.5000 0.0000 0.0000 Ca
0.0000 0.0000 0.5000 Er
0.5000 0.5000 0.5000 In
```

---

Entry 6:
Below is a relaxed structure of Hf2Mg3, with properties calculated at the PBE level.

The energy of formation comes out at 0.03 eV per atom. As for the size of the total moment: 0.0000 μB per atom.

The structure in POSCAR format:
```
Hf2Mg3
1.0
3.2015 0.0000 0.0000
-1.6007 2.7726 0.0000
0.0000 0.0000 38.6418
Hf Mg
6 9
Direct
0.0000 0.0000 0.1976 Hf
0.0000 0.0000 0.8024 Hf
0.3333 0.6667 0.4691 Hf
0.3333 0.6667 0.8643 Hf
0.6667 0.3333 0.1357 Hf
0.6667 0.3333 0.5309 Hf
0.0000 0.0000 0.0000 Mg
0.0000 0.0000 0.4008 Mg
0.0000 0.0000 0.5992 Mg
0.3333 0.6667 0.0675 Mg
0.3333 0.6667 0.2658 Mg
0.3333 0.6667 0.6667 Mg
0.6667 0.3333 0.3333 Mg
0.6667 0.3333 0.7342 Mg
0.6667 0.3333 0.9325 Mg
```